Entry from Alexandria: a relaxed Tb8GeP3Se4 crystal (PBE).

```
data_Tb8GeP3Se4
_cell_length_a 8.1418
_cell_length_b 8.1418
_cell_length_c 20.2203
_cell_angle_alpha 90.00
_cell_angle_beta 90.00
_cell_angle_gamma 120.00
_symmetry_space_group_name_H-M 'R -3 m'
_symmetry_Int_Tables_number 166
_symmetry_space_group_name_Hall '-R 3 2"'
loop_
_atom_site_label
_atom_site_fract_x
_atom_site_fract_y
_atom_site_fract_z
_atom_site_occupancy
Tb1 0.0000 0.0000 0.2429 1
Tb2 0.0021 0.5011 0.7559 1
Ge1 0.0000 0.0000 0.5000 1
P1 0.0000 0.5000 0.5000 1
Se1 0.0000 0.0000 0.0000 1
Se2 0.0000 0.5000 0.0000 1
```

Properties
Formation energy (no corrections)   -164.0 kJ/mol of atoms